The following is a PBE calculation of a geometry-optimized Pr5YN6 structure, from Alexandria via LeMat-Bulk.

```
Pr5YN6
1.0
6.2598 0.1521 0.9507
1.5371 5.3107 3.0958
0.1046 0.0567 6.3355
Pr Y N
5 1 6
Direct
0.5000 0.1653 0.6694
0.0000 0.3331 0.3338
0.5000 0.5000 0.0000
0.0000 0.6669 0.6662
0.5000 0.8347 0.3306
0.0000 0.0000 0.0000
0.7547 0.0818 0.3254
0.2453 0.5928 0.3254
0.2470 0.2432 0.0000
0.7530 0.7568 0.0000
0.7547 0.4072 0.6746
0.2453 0.9182 0.6746
```

Results
Uncorrected energy (eV/atom): -8.032
Magnetization (μB/f.u.): 0.00


The following is a PBE calculation of a geometry-optimized Pr2Y3N4 structure, from Alexandria via LeMat-Bulk.

```
Pr2Y3N4
1.0
3.4341 0.0000 0.8447
1.5135 5.8437 1.2500
-0.1751 0.5410 8.1146
Pr Y N
2 3 4
Direct
0.6033 0.1792 0.6143
0.3967 0.8208 0.3857
0.0000 0.0000 0.0000
0.2101 0.3988 0.1810
0.7899 0.6012 0.8190
0.8027 0.1057 0.2889
0.1973 0.8943 0.7111
0.3941 0.3030 0.9087
0.6059 0.6970 0.0913
```

Results
Uncorrected energy (eV/atom): -8.264
Magnetization (μB/f.u.): 0.35


The following is a PBE calculation of a geometry-optimized PrY2N structure, from Alexandria via LeMat-Bulk.

```
PrY2N
1.0
-2.9019 0.6411 -1.1666
1.1464 -0.2184 -2.9717
-1.9185 -8.8473 -0.0898
Pr Y N
1 2 1
Direct
0.5000 0.5000 0.5000
0.0000 0.0000 0.8431
0.0000 0.0000 0.1569
0.5000 0.5000 0.0000
```

Results
Uncorrected energy (eV/atom): -6.680
E above lowest polymorph (kJ/mol of formula units): 204
Magnetization (μB/f.u.): 0.00


The following is a PBE calculation of a geometry-optimized Pr3YN structure, from Alexandria via LeMat-Bulk.

```
Pr3YN
1.0
5.1957 0.0000 0.0000
0.0000 5.1957 0.0000
0.0000 0.0000 5.1957
Pr Y N
3 1 1
Direct
0.0000 0.5000 0.0000
0.0000 0.0000 0.5000
0.5000 0.0000 0.0000
0.5000 0.5000 0.5000
0.0000 0.0000 0.0000
```

Results
Uncorrected energy (eV/atom): -6.261
Magnetization (μB/f.u.): 0.00


The following is a PBE calculation of a geometry-optimized PrY3Zr2N6 structure, from Alexandria via LeMat-Bulk.

```
PrY3Zr2N6
1.0
-0.6705 -3.2121 -0.9808
5.8585 -0.1125 -3.6363
2.4667 -0.8876 7.2003
Pr Y Zr N
1 3 2 6
Direct
0.5000 0.0000 0.0000
0.5000 0.5000 0.0000
0.8321 0.1682 0.6643
0.1679 0.8318 0.3357
0.8318 0.6627 0.6636
0.1682 0.3373 0.3364
0.3277 0.8965 0.6553
0.6720 0.5745 0.3440
0.6723 0.1035 0.3447
0.0101 0.2676 0.0202
0.9899 0.7324 0.9798
0.3280 0.4255 0.6560
```

Results
Uncorrected energy (eV/atom): -9.208
Magnetization (μB/f.u.): 0.00


The following is a PBE calculation of a geometry-optimized Pr2Zn3N4 structure, from Alexandria via LeMat-Bulk.

```
Pr2Zn3N4
1.0
5.5390 -0.1456 0.5421
0.7736 6.8376 0.5554
-0.0404 -0.5872 6.8785
Pr Zn N
4 6 8
Direct
0.2827 0.1724 0.4519
0.2173 0.5481 0.8276
0.7173 0.8276 0.5481
0.7827 0.4519 0.1724
0.8718 0.0343 0.1793
0.6282 0.8207 0.9657
0.1282 0.9657 0.8207
0.3718 0.1793 0.0343
0.2500 0.7164 0.2836
0.7500 0.2836 0.7164
0.4921 0.9359 0.2259
0.0079 0.7741 0.0641
0.5079 0.0641 0.7741
0.9921 0.2259 0.9359
0.8546 0.2109 0.4209
0.6454 0.5791 0.7891
0.1454 0.7891 0.5791
0.3546 0.4209 0.2109
```

Results
Uncorrected energy (eV/atom): -5.521
Magnetization (μB/f.u.): 0.00


The following is a PBE calculation of a geometry-optimized Pr3ZnN structure, from Alexandria via LeMat-Bulk.

```
Pr3ZnN
1.0
5.0399 0.0000 0.0000
0.0000 5.0399 0.0000
0.0000 0.0000 5.0399
Pr Zn N
3 1 1
Direct
0.0000 0.5000 0.0000
0.0000 0.0000 0.5000
0.5000 0.0000 0.0000
0.5000 0.5000 0.5000
0.0000 0.0000 0.0000
```

Results
Uncorrected energy (eV/atom): -5.377
E above lowest polymorph (kJ/mol of formula units): 30
Magnetization (μB/f.u.): 0.00


The following is a PBE calculation of a geometry-optimized PrZnN structure, from Alexandria via LeMat-Bulk.

```
PrZnN
1.0
-3.1070 1.6509 1.0205
-1.7245 -1.2719 -3.1930
-0.6011 -7.1591 3.1764
Pr Zn N
2 2 2
Direct
0.3329 0.3470 0.6658
0.6671 0.8470 0.3342
0.0469 0.3471 0.0938
0.9531 0.8471 0.9062
0.1768 0.3469 0.3535
0.8232 0.8469 0.6465
```

Results
Uncorrected energy (eV/atom): -5.620
Magnetization (μB/f.u.): 0.00


Number 1: ΔE_f (raw) -1.3393 eV/atom. Number 2: ΔE_f (raw) -1.3470 eV/atom. Number 3: ΔE_f (raw) -0.1719 eV/atom. Number 4: ΔE_f (raw) -0.4352 eV/atom. Number 5: ΔE_f (raw) -1.6065 eV/atom. Number 6: ΔE_f (raw) -0.3339 eV/atom. Number 7: ΔE_f (raw) -0.5897 eV/atom. Number 8: ΔE_f (raw) -0.8269 eV/atom.